[1]
The following is a DFT calculation (PBE-GGA) of a geometry-optimized ZrSiHgSe2 structure.

Cell lengths 5.269, 5.269, 4.794 Å; angles 90.00, 90.00, 90.00 degrees
Sites, in units of the cell vectors:
Zr1 0.000 0.000 0.000
Si1 0.500 0.500 0.000
Hg1 0.500 0.500 0.500
Se1 0.000 0.500 0.500
Se2 0.500 0.000 0.500

Computed properties:
Density of states at the Fermi level: 5.29 states/eV per cell
Energy relative to the elements, uncorrected: 0.839 eV/atom
Space-group type: P4/mmm

=====

[2]
The following is a DFT calculation (PBE-GGA) of a geometry-optimized Sr2SnAsAu structure.

Cell lengths 6.066, 6.066, 4.780 Å; angles 90.00, 90.00, 90.00 degrees
Sites, in units of the cell vectors:
Sr1 0.000 0.500 0.000
Sr2 0.500 0.000 0.000
Sn1 0.000 0.000 0.500
As1 0.500 0.500 0.500
Au1 0.500 0.500 0.000

Computed properties:
Density of states at the Fermi level: 4.26 states/eV per cell
DFT formation energy: -278 meV/atom
Space-group type: P4/mmm

=====

[3]
The following is a DFT calculation (PBE-GGA) of a geometry-optimized LiTl2Bi structure.

Cell lengths 7.311, 7.311, 7.311 Å; angles 40.68, 40.68, 40.68 degrees
Sites, in units of the cell vectors:
Li1 0.000 0.000 0.000
Tl1 0.351 0.351 0.351
Tl2 0.649 0.649 0.649
Bi1 0.500 0.500 0.500

Computed properties:
Density of states at the Fermi level: 2.92 states/eV per cell
DFT formation energy: 317 meV/atom
Space-group type: R-3m

=====

[4]
The following is a DFT calculation (PBE-GGA) of a geometry-optimized Na5B7C3 structure.

Cell lengths 11.543, 11.543, 9.951 Å; angles 106.92, 106.92, 14.20 degrees
Sites, in units of the cell vectors:
Na1 0.000 0.000 0.000
Na2 0.100 0.100 0.700
Na3 0.200 0.200 0.400
Na4 0.301 0.301 0.099
Na5 0.400 0.400 0.799
Na6 0.500 0.500 0.500
Na7 0.600 0.600 0.201
Na8 0.699 0.699 0.901
Na9 0.800 0.800 0.600
Na10 0.900 0.900 0.300
B1 0.020 0.020 0.289
B2 0.089 0.089 0.428
B3 0.114 0.114 0.978
B4 0.183 0.183 0.117
B5 0.277 0.277 0.803
B6 0.317 0.317 0.384
B7 0.480 0.480 0.210
B8 0.520 0.520 0.790
B9 0.683 0.683 0.616
B10 0.723 0.723 0.197
B11 0.817 0.817 0.883
B12 0.886 0.886 0.022
B13 0.911 0.911 0.572
B14 0.980 0.980 0.711
C1 0.215 0.215 0.679
C2 0.381 0.381 0.511
C3 0.417 0.417 0.085
C4 0.583 0.583 0.915
C5 0.619 0.619 0.489
C6 0.785 0.785 0.321

Computed properties:
Density of states at the Fermi level: 10.56 states/eV per cell
DFT formation energy: 121 meV/atom
Space-group type: C2/m
Polymorph energy (0 for the lowest one): 0.126 eV per formula unit

=====

[5]
The following is a DFT calculation (PBE-GGA) of a geometry-optimized Ca2HIrPd structure.

Cell lengths 4.859, 4.859, 3.652 Å; angles 90.00, 90.00, 90.00 degrees
Sites, in units of the cell vectors:
Ca1 0.000 0.500 0.000
Ca2 0.500 0.000 0.000
H1 0.000 0.000 0.000
Ir1 0.000 0.000 0.500
Pd1 0.500 0.500 0.500

Computed properties:
Density of states at the Fermi level: 0.74 states/eV per cell
Space-group type: P4/mmm
Polymorph energy (0 for the lowest one): 0.000 eV per formula unit

=====

no.,calculated volume (Å³/cell)
1,133
2,176
3,150
4,311
5,86